VASP calculation (PBE) on a relaxed Np4TaN6 crystal.

Results
formation energy from raw total energies = -1118 kJ/mol of formula units
space-group type = No. 167
magnetic moment = 13.105 μB per formula unit
calculated total energy = -11.377 eV/atom
DOS at the Fermi energy = 42.33 states/eV per cell

abc: 6.6876 6.6876 6.6876
angles: 91.64 91.64 91.64
Closest atoms and distances in Å follow each position.
Sites, in units of the cell vectors:
Np1 0.1037 0.7500 0.3963  2 N 2.29
Np2 0.2500 0.2500 0.2500  6 N 2.34
Np3 0.2500 0.6037 0.8963  2 N 2.29
Np4 0.3963 0.1037 0.7500  2 N 2.29
Np5 0.6037 0.8963 0.2500  2 N 2.29
Np6 0.7500 0.3963 0.1037  2 N 2.29
Np7 0.7500 0.7500 0.7500  6 N 2.34
Np8 0.8963 0.2500 0.6037  2 N 2.29
Ta1 0.0000 0.0000 0.0000  6 N 2.14
Ta2 0.5000 0.5000 0.5000  6 N 2.14
N1 0.0552 0.9155 0.6953  1 Ta 2.14, 2 Np 2.29-2.34
N2 0.0845 0.3047 0.9448  1 Ta 2.14, 2 Np 2.29-2.34
N3 0.1953 0.4155 0.5552  1 Ta 2.14, 2 Np 2.29-2.34
N4 0.3047 0.9448 0.0845  1 Ta 2.14, 2 Np 2.29-2.34
N5 0.4155 0.5552 0.1953  1 Ta 2.14, 2 Np 2.29-2.34
N6 0.4448 0.8047 0.5845  1 Ta 2.14, 2 Np 2.29-2.34
N7 0.5552 0.1953 0.4155  1 Ta 2.14, 2 Np 2.29-2.34
N8 0.5845 0.4448 0.8047  1 Ta 2.14, 2 Np 2.29-2.34
N9 0.6953 0.0552 0.9155  1 Ta 2.14, 2 Np 2.29-2.34
N10 0.8047 0.5845 0.4448  1 Ta 2.14, 2 Np 2.29-2.34
N11 0.9155 0.6953 0.0552  1 Ta 2.14, 2 Np 2.29-2.34
N12 0.9448 0.0845 0.3047  1 Ta 2.14, 2 Np 2.29-2.34